No. 1
Compound: KScIr2
Source: Alexandria
Functional: PBE
Structure: relaxed

Calculated values
For the uncorrected energy, the calculation gives -23.35 eV/f.u. As for the energy of formation: 451 meV per atom. Its total magnetic moment is 0.00 μB/cell.

POSCAR file:
```
KScIr2
1.0
6.6997 0.0000 0.0000
0.0000 6.6997 0.0000
0.0000 0.0000 6.6997
K Sc Ir
4 4 8
Cartesian
0.0000 0.0000 0.0000
0.0000 3.3499 3.3499
3.3499 0.0000 3.3499
3.3499 3.3499 0.0000
0.0000 0.0000 3.3499
0.0000 3.3499 0.0000
3.3499 0.0000 0.0000
3.3499 3.3499 3.3499
1.6749 1.6749 1.6749
1.6749 1.6749 5.0248
1.6749 5.0248 1.6749
1.6749 5.0248 5.0248
5.0248 1.6749 1.6749
5.0248 1.6749 5.0248
5.0248 5.0248 1.6749
5.0248 5.0248 5.0248
```

***

No. 2
Compound: CsK2RbP
Source: Alexandria
Functional: PBE
Structure: relaxed

Calculated values
For the uncorrected energy, the calculation gives -9.58 eV/f.u. As for the energy of formation: -31 meV per atom. Its total magnetic moment is 0.67 μB/cell.

POSCAR file:
```
CsK2RbP
1.0
6.5612 0.0000 0.0000
0.0000 6.5612 0.0000
0.0000 0.0000 7.0526
Cs K Rb P
1 2 1 1
Cartesian
0.0000 0.0000 0.0000
0.0000 3.2806 3.5263
3.2806 0.0000 3.5263
3.2806 3.2806 0.0000
0.0000 0.0000 3.5263
```

***

No. 3
Compound: Ag7W
Source: Alexandria
Functional: PBE
Structure: relaxed

Calculated values
For the uncorrected energy, the calculation gives -29.10 eV/f.u. As for the energy of formation: 476 meV per atom. Its total magnetic moment is 3.47 μB/cell.

POSCAR file:
```
Ag7W
1.0
0.0000 4.1574 4.1574
4.1574 0.0000 4.1574
4.1574 4.1574 0.0000
Ag W
7 1
Cartesian
0.0000 0.0000 0.0000
2.0787 2.0787 0.0000
2.0787 0.0000 2.0787
4.1574 2.0787 2.0787
0.0000 2.0787 2.0787
2.0787 4.1574 2.0787
2.0787 2.0787 4.1574
4.1574 4.1574 4.1574
```

***

No. 4
Compound: La8Nd2Tm3
Source: Alexandria
Functional: PBE
Structure: relaxed

Calculated values
For the uncorrected energy, the calculation gives -60.45 eV/f.u. As for the energy of formation: 148 meV per atom. Its total magnetic moment is 0.00 μB/cell.

POSCAR file:
```
La8Nd2Tm3
1.0
6.7317 -6.0027 0.0000
6.7317 6.0027 0.0000
-2.2611 0.0000 5.7036
La Nd Tm
8 2 3
Cartesian
0.1225 0.0000 1.5742
2.6385 2.9257 4.8758
3.8903 0.0000 2.3329
8.5638 2.9257 0.8278
2.6385 -2.9257 4.8758
7.3120 0.0000 3.3707
8.5638 -2.9257 0.8278
11.0798 0.0000 4.1294
0.8296 0.0000 4.7587
10.3727 0.0000 0.9449
5.6011 3.0597 2.8518
6.7317 0.0000 0.0000
5.6011 -3.0597 2.8518
```

***

No. 5
Compound: Pm2SI4
Source: Alexandria
Functional: PBE
Structure: relaxed

Calculated values
For the uncorrected energy, the calculation gives -30.36 eV/f.u. Its total magnetic moment is 0.00 μB/cell.

POSCAR file:
```
Pm2SI4
1.0
13.6251 0.0000 0.0000
0.0000 13.6251 0.0000
0.0000 0.0000 3.9532
Pm S I
4 2 8
Cartesian
1.4515 1.4515 0.0000
5.3611 8.2641 1.9766
8.2641 5.3611 1.9766
12.1736 12.1736 0.0000
0.0000 0.0000 1.9766
6.8126 6.8126 0.0000
0.8648 3.7858 1.9766
3.0268 7.6773 0.0000
3.7858 0.8648 1.9766
5.9478 10.5984 0.0000
7.6773 3.0268 0.0000
9.8393 12.7603 1.9766
10.5984 5.9478 0.0000
12.7603 9.8393 1.9766
```

***

No. 6
Compound: KNiICl2
Source: Alexandria
Functional: PBE
Structure: relaxed

Calculated values
For the uncorrected energy, the calculation gives -16.34 eV/f.u. Its total magnetic moment is 0.23 μB/cell.

POSCAR file:
```
KNiICl2
1.0
4.8519 0.0000 0.0000
0.0000 4.8519 0.0000
0.0000 0.0000 5.4010
K Ni I Cl
1 1 1 2
Cartesian
0.0000 0.0000 0.0000
2.4259 2.4259 2.7005
2.4259 2.4259 0.0000
0.0000 2.4259 2.7005
2.4259 0.0000 2.7005
```

***

No. 7
Compound: Dy5GaSb4
Source: Alexandria
Functional: PBE
Structure: relaxed

Calculated values
For the uncorrected energy, the calculation gives -51.79 eV/f.u. Its total magnetic moment is 0.00 μB/cell.

POSCAR file:
```
Dy5GaSb4
1.0
-4.8612 4.8612 3.0702
4.8612 -4.8612 3.0702
4.8612 4.8612 -3.0702
Dy Ga Sb
5 1 4
Cartesian
0.0000 0.0000 0.0000
3.8745 1.9663 0.0000
2.8949 -0.9867 3.0702
1.9663 5.8480 0.0000
0.9867 2.8949 3.0702
0.0000 0.0000 3.0702
6.7994 0.9451 0.0000
0.9451 2.9231 0.0000
3.9162 1.9382 3.0702
-1.9382 3.9162 3.0702
```

***

No. 8
Compound: YAs2Os
Source: Alexandria
Functional: PBE
Structure: relaxed

Calculated values
For the uncorrected energy, the calculation gives -27.24 eV/f.u. As for the energy of formation: -61 meV per atom. Its total magnetic moment is 0.00 μB/cell.

POSCAR file:
```
YAs2Os
1.0
4.0635 0.0000 0.0000
0.0000 4.0635 0.0000
0.0000 0.0000 8.9648
Y As Os
2 4 2
Cartesian
0.0000 0.0000 0.0000
2.0317 2.0317 4.4824
0.0000 0.0000 4.4824
0.0000 2.0317 6.7236
2.0317 0.0000 2.2412
2.0317 2.0317 0.0000
0.0000 2.0317 2.2412
2.0317 0.0000 6.7236
```

***

No. 9
Compound: SrTi2Al
Source: Alexandria
Functional: PBE
Structure: relaxed

Calculated values
For the uncorrected energy, the calculation gives -18.73 eV/f.u. As for the energy of formation: 620 meV per atom. Its total magnetic moment is 0.00 μB/cell.

POSCAR file:
```
SrTi2Al
1.0
4.6539 0.0000 0.0000
0.0000 4.6539 0.0000
0.0000 0.0000 20.3563
Sr Ti Al
4 8 4
Cartesian
0.0000 0.0000 0.0000
0.0000 2.3269 5.0891
2.3269 0.0000 15.2672
2.3269 2.3269 10.1782
0.1257 1.1635 12.7227
1.1635 2.4526 17.8118
1.1635 4.5282 7.6336
2.2013 1.1635 2.5445
2.4526 3.4904 2.5445
3.4904 0.1257 7.6336
3.4904 2.2013 17.8118
4.5282 3.4904 12.7227
0.0000 0.0000 10.1782
0.0000 2.3269 15.2672
2.3269 0.0000 5.0891
2.3269 2.3269 0.0000
```

***

No. 10
Compound: ZnNiH2Os
Source: Alexandria
Functional: PBE
Structure: relaxed

Calculated values
For the uncorrected energy, the calculation gives -20.24 eV/f.u. Its total magnetic moment is 1.33 μB/cell.

POSCAR file:
```
ZnNiH2Os
1.0
3.4178 0.0000 0.0000
0.0000 3.4178 0.0000
0.0000 0.0000 4.6779
Zn Ni H Os
1 1 2 1
Cartesian
0.0000 0.0000 0.0000
0.0000 0.0000 2.3390
0.0000 1.7089 2.3390
1.7089 0.0000 2.3390
1.7089 1.7089 0.0000
```

***

No. 11
Compound: AcPm3Rh
Source: Alexandria
Functional: PBE
Structure: relaxed

Calculated values
For the uncorrected energy, the calculation gives -26.99 eV/f.u. As for the energy of formation: -256 meV per atom. Its total magnetic moment is 0.00 μB/cell.

POSCAR file:
```
AcPm3Rh
1.0
8.2671 0.0000 0.0000
0.0000 7.6860 0.0000
-3.0514 0.0000 10.0533
Ac Pm Rh
4 12 4
Cartesian
0.7107 0.3726 2.5495
-0.8151 3.4704 7.5762
6.0307 4.2156 2.4771
4.5050 7.3134 7.5037
0.5634 5.3890 0.3139
-0.9623 6.1400 5.3405
1.2574 3.9092 3.8527
-0.2683 7.6197 8.8793
1.5612 0.9790 6.1269
3.0869 2.8640 1.1003
2.1288 4.8220 8.9530
3.6545 6.7069 3.9264
5.4840 0.0662 1.1740
3.9582 3.7767 6.2006
6.1780 1.5460 4.7127
4.6523 2.2970 9.7394
1.8266 5.7214 6.0389
3.3523 5.8075 1.0123
1.8634 1.8785 9.0410
3.3891 1.9645 4.0144
```

***

No. 12
Compound: Ac2HoSc
Source: Alexandria
Functional: PBE
Structure: relaxed

Calculated values
For the uncorrected energy, the calculation gives -18.72 eV/f.u. As for the energy of formation: 102 meV per atom. Its total magnetic moment is 0.00 μB/cell.

POSCAR file:
```
Ac2HoSc
1.0
8.2997 0.0000 0.0000
0.0000 8.2997 0.0000
0.0000 0.0000 8.2997
Ac Ho Sc
8 4 4
Cartesian
2.0749 2.0749 2.0749
2.0749 2.0749 6.2248
2.0749 6.2248 2.0749
2.0749 6.2248 6.2248
6.2248 2.0749 2.0749
6.2248 2.0749 6.2248
6.2248 6.2248 2.0749
6.2248 6.2248 6.2248
0.0000 0.0000 0.0000
0.0000 4.1499 4.1499
4.1499 0.0000 4.1499
4.1499 4.1499 0.0000
0.0000 0.0000 4.1499
0.0000 4.1499 0.0000
4.1499 0.0000 0.0000
4.1499 4.1499 4.1499
```

***

No. 13
Compound: HfCr6
Source: Alexandria
Functional: PBE
Structure: relaxed

Calculated values
For the uncorrected energy, the calculation gives -57.57 eV/f.u. As for the energy of formation: 1446 meV per atom. Its total magnetic moment is 0.00 μB/cell.

POSCAR file:
```
HfCr6
1.0
6.1215 0.0000 0.0000
0.0000 6.1215 0.0000
0.0000 0.0000 6.1215
Hf Cr
2 12
Cartesian
0.0000 0.0000 0.0000
3.0607 3.0607 3.0607
0.0000 1.5304 3.0607
0.0000 3.0607 1.5304
0.0000 3.0607 4.5911
0.0000 4.5911 3.0607
1.5304 0.0000 3.0607
1.5304 3.0607 0.0000
3.0607 0.0000 1.5304
3.0607 0.0000 4.5911
3.0607 1.5304 0.0000
3.0607 4.5911 0.0000
4.5911 0.0000 3.0607
4.5911 3.0607 0.0000
```

***

No. 14
Compound: Np2SbS5
Source: Alexandria
Functional: PBE
Structure: relaxed

Calculated values
For the uncorrected energy, the calculation gives -58.41 eV/f.u. Its total magnetic moment is 14.06 μB/cell.

POSCAR file:
```
Np2SbS5
1.0
7.6268 0.0000 0.0000
0.0000 11.6576 0.0000
0.0000 0.0000 3.8661
Np Sb S
4 2 10
Cartesian
0.2019 2.0318 0.0000
3.6115 7.8606 0.0000
4.0153 3.7970 0.0000
7.4249 9.6258 0.0000
0.0000 5.8288 1.9330
3.8134 0.0000 1.9330
0.0000 0.0000 1.9330
1.3088 4.5702 0.0000
1.3667 8.1593 1.9330
2.4467 2.3305 1.9330
2.5046 10.3990 0.0000
3.8134 5.8288 1.9330
5.1222 1.2586 0.0000
5.1801 9.3271 1.9330
6.2601 3.4983 1.9330
6.3180 7.0874 0.0000
```

***

No. 15
Compound: HoHfPtAu
Source: Alexandria
Functional: PBE
Structure: relaxed

Calculated values
For the uncorrected energy, the calculation gives -27.13 eV/f.u. As for the energy of formation: -819 meV per atom. Its total magnetic moment is 0.00 μB/cell.

POSCAR file:
```
HoHfPtAu
1.0
6.8845 0.0000 0.0000
0.0000 6.8845 0.0000
0.0000 0.0000 6.8845
Ho Hf Pt Au
4 4 4 4
Cartesian
0.0000 0.0000 0.0000
0.0000 3.4423 3.4423
3.4423 0.0000 3.4423
3.4423 3.4423 0.0000
0.0000 0.0000 3.4423
0.0000 3.4423 0.0000
3.4423 0.0000 0.0000
3.4423 3.4423 3.4423
1.7211 1.7211 1.7211
1.7211 5.1634 5.1634
5.1634 1.7211 5.1634
5.1634 5.1634 1.7211
1.7211 1.7211 5.1634
1.7211 5.1634 1.7211
5.1634 1.7211 1.7211
5.1634 5.1634 5.1634
```

***

No. 16
Compound: Hf8SiS2
Source: Alexandria
Functional: PBE
Structure: relaxed

Calculated values
For the uncorrected energy, the calculation gives -97.16 eV/f.u. Its total magnetic moment is 0.00 μB/cell.

POSCAR file:
```
Hf8SiS2
1.0
7.1750 -2.9896 0.0000
7.1750 2.9896 0.0000
-0.8329 0.0000 5.2759
Hf Si S
8 1 2
Cartesian
0.8821 0.0000 3.5722
5.3351 1.5430 4.2510
3.7308 0.0000 1.6853
8.1820 1.5430 1.0249
5.3351 -1.5430 4.2510
9.7863 0.0000 3.5906
8.1820 -1.5430 1.0249
12.6350 0.0000 1.7037
6.7585 0.0000 2.6379
3.2913 0.0000 4.3458
10.2258 0.0000 0.9301
```

***

No. 17
Compound: In2PbO5
Source: Alexandria
Functional: PBE
Structure: relaxed

Calculated values
For the uncorrected energy, the calculation gives -44.12 eV/f.u. Its total magnetic moment is 0.00 μB/cell.

POSCAR file:
```
In2PbO5
1.0
5.5412 -2.8525 0.0000
5.5412 2.8525 0.0000
-2.8027 0.0000 7.2096
In Pb O
4 2 10
Cartesian
0.8531 0.0437 1.5955
-0.5482 -0.0437 5.2003
8.8280 0.0437 2.0093
7.4267 -0.0437 5.6141
5.5412 0.0000 0.0000
4.1399 0.0000 3.6048
3.1242 1.9485 3.9951
1.1039 0.8789 6.1046
3.7543 1.9485 6.8192
4.8406 1.1976 1.8024
2.5052 -0.8789 2.4998
5.7746 0.8789 4.7098
3.4392 -1.1976 5.4072
4.5255 -1.9485 0.3903
7.1759 -0.8789 1.1050
5.1556 -1.9485 3.2144
```

***

No. 18
Compound: CeAs2Ru4
Source: Alexandria
Functional: PBE
Structure: relaxed

Calculated values
For the uncorrected energy, the calculation gives -55.28 eV/f.u. As for the energy of formation: -420 meV per atom. Its total magnetic moment is 1.53 μB/cell.

POSCAR file:
```
CeAs2Ru4
1.0
3.9660 0.0000 0.0000
0.0000 15.3918 0.0000
0.0000 0.0000 3.9345
Ce As Ru
2 4 8
Cartesian
0.0000 0.0000 0.0000
1.9830 7.6959 0.0000
0.0000 6.2849 1.9672
0.0000 9.1069 1.9672
1.9830 1.4110 1.9672
1.9830 13.9808 1.9672
0.0000 2.9561 1.9672
0.0000 4.7214 0.0000
0.0000 10.6704 0.0000
0.0000 12.4357 1.9672
1.9830 2.9745 0.0000
1.9830 4.7398 1.9672
1.9830 10.6520 1.9672
1.9830 12.4173 0.0000
```

***

No. 19
Compound: CrTeCN2
Source: Alexandria
Functional: PBE
Structure: relaxed

Calculated values
For the uncorrected energy, the calculation gives -27.25 eV/f.u. Its total magnetic moment is 1.35 μB/cell.

POSCAR file:
```
CrTeCN2
1.0
3.7839 0.0000 0.0000
0.0000 3.7839 0.0000
0.0000 0.0000 4.4439
Cr Te C N
1 1 1 2
Cartesian
0.0000 0.0000 0.0000
1.8919 1.8919 0.0000
1.8919 1.8919 2.2219
0.0000 1.8919 2.2219
1.8919 0.0000 2.2219
```

***

No. 20
Compound: CaAc2Pm2
Source: Alexandria
Functional: PBE
Structure: relaxed

Calculated values
For the uncorrected energy, the calculation gives -19.56 eV/f.u. As for the energy of formation: 31 meV per atom. Its total magnetic moment is 0.00 μB/cell.

POSCAR file:
```
CaAc2Pm2
1.0
3.8409 0.0000 0.0000
-1.9205 3.3263 0.0000
0.0000 0.0000 46.8526
Ca Ac Pm
3 6 6
Cartesian
0.0000 0.0000 0.0000
0.0000 2.2176 31.2351
1.9205 1.1088 15.6175
0.0000 0.0000 18.9174
0.0000 0.0000 27.9352
0.0000 2.2176 3.2998
0.0000 2.2176 12.3177
1.9205 1.1088 34.5349
1.9205 1.1088 43.5527
0.0000 0.0000 9.2725
0.0000 0.0000 37.5801
0.0000 2.2176 21.9626
0.0000 2.2176 40.5075
1.9205 1.1088 6.3451
1.9205 1.1088 24.8900
```

***

No. 21
Compound: KAs2
Source: Alexandria
Functional: PBE
Structure: relaxed

Calculated values
For the uncorrected energy, the calculation gives -9.95 eV/f.u. As for the energy of formation: 150 meV per atom. Its total magnetic moment is 0.00 μB/cell.

POSCAR file:
```
KAs2
1.0
7.7982 0.0000 0.0000
0.0000 7.7982 0.0000
0.0000 0.0000 5.9822
K As
4 8
Cartesian
0.0000 0.0000 1.4955
0.0000 0.0000 4.4866
3.8991 3.8991 1.4955
3.8991 3.8991 4.4866
0.8133 3.0858 0.0000
0.8133 4.7124 2.9911
3.0858 0.8133 2.9911
3.0858 6.9849 0.0000
4.7124 0.8133 0.0000
4.7124 6.9849 2.9911
6.9849 3.0858 2.9911
6.9849 4.7124 0.0000
```

***

No. 22
Compound: CsEr2PbCl8
Source: Alexandria
Functional: PBE
Structure: relaxed

Calculated values
For the uncorrected energy, the calculation gives -49.65 eV/f.u. Its total magnetic moment is 1.00 μB/cell.

POSCAR file:
```
CsEr2PbCl8
1.0
3.5207 2.0327 10.7976
-3.5207 2.0327 10.7976
0.0000 -4.0654 10.7976
Cs Er Pb Cl
1 2 1 8
Cartesian
0.0000 0.0000 0.0000
0.0000 0.0000 8.1759
0.0000 0.0000 24.2170
0.0000 0.0000 16.1965
-2.3858 0.0981 14.0491
-1.2779 -2.0171 18.3439
0.0000 0.0000 10.6437
1.1079 -2.1153 14.0491
-1.1079 2.1152 18.3439
0.0000 0.0000 21.7492
1.2779 2.0171 14.0491
2.3858 -0.0981 18.3439
```

***

No. 23
Compound: HfNiIr
Source: Alexandria
Functional: PBE
Structure: relaxed

Calculated values
For the uncorrected energy, the calculation gives -26.68 eV/f.u. As for the energy of formation: -695 meV per atom. Its total magnetic moment is 0.00 μB/cell.

POSCAR file:
```
HfNiIr
1.0
3.7367 0.0000 0.0000
0.0000 12.2646 0.0000
0.0000 0.0000 3.9715
Hf Ni Ir
4 4 4
Cartesian
0.0000 1.2309 0.9929
0.0000 11.0338 2.9786
1.8683 4.9014 2.9786
1.8683 7.3632 0.9929
0.0000 3.0739 2.9786
0.0000 9.1907 0.9929
1.8683 3.0584 0.9929
1.8683 9.2062 2.9786
0.0000 5.0381 0.9929
0.0000 7.2265 2.9786
1.8683 1.0942 2.9786
1.8683 11.1704 0.9929
```

***

No. 24
Compound: Ac3Be2CuO8
Source: Alexandria
Functional: PBE
Structure: relaxed

Calculated values
For the uncorrected energy, the calculation gives -99.90 eV/f.u. Its total magnetic moment is 2.03 μB/cell.

POSCAR file:
```
Ac3Be2CuO8
1.0
5.4372 0.0000 0.0000
-2.7186 4.7088 0.0000
0.0000 0.0000 6.9100
Ac Be Cu O
3 2 1 8
Cartesian
0.0000 0.0000 0.0000
0.0000 3.1392 4.5505
2.7186 1.5696 2.3595
0.0000 3.1392 1.5186
2.7186 1.5696 5.3915
0.0000 0.0000 3.4550
0.0000 1.5949 2.1770
-1.3374 3.9113 2.1770
0.0000 3.1392 6.8708
1.3813 0.7975 4.7330
1.3374 3.9113 2.1770
2.7186 1.5696 0.0392
4.0560 0.7975 4.7330
2.7186 3.1139 4.7330
```